Entry 1:
Ho3NiRh | PBE-GGA | relaxed

Summary:
Calculated total energy = -59.43 eV for the cell shown
Density of states at the Fermi level = 0.69 states/eV/atom
Symmetry = P2_1/m
Mass density = 9.6 Mg/m³

Unit cell a=7.4041 b=3.9442 c=8.2157 alpha=90.00 beta=108.83 gamma=90.00
Closest atoms and distances in Å follow each position.
Atoms (fractional coordinates):
1 Ho 0.0949 0.2500 0.2422  3 Ni 2.87-2.91, 2 Rh 2.93
2 Ho 0.3072 0.2500 0.9328  1 Ni 2.85, 3 Rh 2.87-2.94
3 Ho 0.3600 0.7500 0.6020  2 Rh 2.91, 3 Ni 2.94-2.99
4 Ho 0.6400 0.2500 0.3980  2 Rh 2.91, 3 Ni 2.94-2.99
5 Ho 0.6928 0.7500 0.0672  1 Ni 2.85, 3 Rh 2.87-2.94
6 Ho 0.9051 0.7500 0.7578  3 Ni 2.87-2.91, 2 Rh 2.93
7 Ni 0.0594 0.2500 0.5850  2 Ni 2.41
8 Ni 0.9406 0.7500 0.4150  2 Ni 2.41
9 Rh 0.3678 0.7500 0.1992  7 Ho 2.87-2.94
10 Rh 0.6322 0.2500 0.8008  7 Ho 2.87-2.94

---

Entry 2:
Ho7Ni2Rh2 | PBE-GGA | relaxed

Summary:
Calculated total energy = -61.47 eV for the cell shown
Density of states at the Fermi level = 0.87 states/eV/atom
Symmetry = Cmmm
Mass density = 8.5 Mg/m³

Unit cell a=6.5666 b=6.5666 c=6.8395 alpha=90.00 beta=90.00 gamma=102.72
Closest atoms and distances in Å follow each position.
Atoms (fractional coordinates):
1 Ho 0.0000 0.0000 0.0000  2 Rh 2.85
2 Ho 0.0000 0.5000 0.2628  2 Rh 2.74, 2 Ni 3.04
3 Ho 0.0000 0.5000 0.7372  2 Rh 2.74, 2 Ni 3.04
4 Ho 0.5000 0.0000 0.2628  2 Rh 2.74, 2 Ni 3.04
5 Ho 0.5000 0.0000 0.7372  2 Rh 2.74, 2 Ni 3.04
6 Ho 0.5000 0.5000 0.2603  2 Ni 2.75, 2 Rh 2.89
7 Ho 0.5000 0.5000 0.7397  2 Ni 2.75, 2 Rh 2.89
8 Ni 0.2308 0.2308 0.5000  6 Ho 2.75-3.04
9 Ni 0.7692 0.7692 0.5000  6 Ho 2.75-3.04
10 Rh 0.2781 0.7219 0.0000  7 Ho 2.74-2.89
11 Rh 0.7219 0.2781 0.0000  7 Ho 2.74-2.89

---

Entry 3:
Ho4Ni2Rh | PBE-GGA | relaxed

Summary:
Calculated total energy = -40.53 eV for the cell shown
Density of states at the Fermi level = 0.79 states/eV/atom
Symmetry = R-3m
Mass density = 9.6 Mg/m³

Unit cell a=8.2732 b=8.2732 c=8.2732 alpha=33.35 beta=33.35 gamma=33.35
Closest atoms and distances in Å follow each position.
Atoms (fractional coordinates):
1 Ho 0.1237 0.1237 0.1237  4 Ni 2.89-2.93, 3 Rh 2.92
2 Ho 0.3747 0.3747 0.3747  4 Ni 2.92-2.95, 1 Rh 2.93
3 Ho 0.6253 0.6253 0.6253  4 Ni 2.92-2.95, 1 Rh 2.93
4 Ho 0.8763 0.8763 0.8763  4 Ni 2.89-2.93, 3 Rh 2.92
5 Ni 0.2487 0.2487 0.2487  8 Ho 2.89-2.95
6 Ni 0.7513 0.7513 0.7513  8 Ho 2.89-2.95
7 Rh 0.5000 0.5000 0.5000  8 Ho 2.92-2.93

---

Entry 4:
Ho8Ni2Rh | PBE-GGA | relaxed

Summary:
Calculated total energy = -59.12 eV for the cell shown
Density of states at the Fermi level = 1.06 states/eV/atom
Symmetry = C2/m
Mass density = 9.5 Mg/m³

Unit cell a=8.8620 b=8.8620 c=6.5836 alpha=104.81 beta=104.81 gamma=32.68
Closest atoms and distances in Å follow each position.
Atoms (fractional coordinates):
1 Ho 0.0367 0.0367 0.2895  1 Ni 2.73, 2 Rh 3.00
2 Ho 0.2015 0.2015 0.8285  1 Ni 2.67
3 Ho 0.3295 0.3295 0.5212  1 Ni 2.66, 1 Rh 2.94
4 Ho 0.4090 0.4090 0.0519  1 Rh 2.94, 2 Ni 3.26
5 Ho 0.5910 0.5910 0.9481  1 Rh 2.94, 2 Ni 3.26
6 Ho 0.6705 0.6705 0.4788  1 Ni 2.66, 1 Rh 2.94
7 Ho 0.7985 0.7985 0.1715  1 Ni 2.67
8 Ho 0.9633 0.9633 0.7105  1 Ni 2.73, 2 Rh 3.00
9 Ni 0.1887 0.1887 0.2234  3 Ho 2.66-2.73
10 Ni 0.8113 0.8113 0.7766  3 Ho 2.66-2.73
11 Rh 0.5000 0.5000 0.5000  8 Ho 2.94-3.00

---

Entry 5:
Ho3NiRh2 | PBE-GGA | relaxed

Summary:
Calculated total energy = -77.32 eV for the cell shown
Density of states at the Fermi level = 0.47 states/eV/atom
Symmetry = P-3m1
Mass density = 10.7 Mg/m³

Unit cell a=4.8026 b=4.8026 c=11.7903 alpha=90.00 beta=90.00 gamma=120.00
Closest atoms and distances in Å follow each position.
Atoms (fractional coordinates):
1 Ho 0.0000 0.0000 0.2483  5 Rh 2.93-2.97, 3 Ni 2.93
2 Ho 0.0000 0.0000 0.7517  5 Rh 2.93-2.97, 3 Ni 2.93
3 Ho 0.3333 0.6667 0.4153  1 Ni 2.93, 7 Rh 2.94-2.98
4 Ho 0.3333 0.6667 0.9173  4 Rh 2.94, 4 Ni 2.94
5 Ho 0.6667 0.3333 0.0827  4 Rh 2.94, 4 Ni 2.94
6 Ho 0.6667 0.3333 0.5847  1 Ni 2.93, 7 Rh 2.94-2.98
7 Ni 0.3333 0.6667 0.1668  8 Ho 2.93-2.94
8 Ni 0.6667 0.3333 0.8332  8 Ho 2.93-2.94
9 Rh 0.0000 0.0000 0.0000  8 Ho 2.93-2.94
10 Rh 0.0000 0.0000 0.5000  8 Ho 2.95-2.97
11 Rh 0.3333 0.6667 0.6679  8 Ho 2.94-2.98
12 Rh 0.6667 0.3333 0.3321  8 Ho 2.94-2.98

---

Entry 6:
HoNi2Rh2 | PBE-GGA | relaxed

Summary:
Calculated total energy = -63.95 eV for the cell shown
Density of states at the Fermi level = 1.61 states/eV/atom
Symmetry = I4/mmm
Mass density = 9.9 Mg/m³

Unit cell a=11.0755 b=11.0755 c=11.0755 alpha=159.72 beta=159.72 gamma=28.84
Closest atoms and distances in Å follow each position.
Atoms (fractional coordinates):
1 Ho 0.1253 0.1253 0.0000  8 Ni 2.98-3.32, 8 Rh 3.00-3.31
2 Ho 0.8747 0.8747 0.0000  8 Ni 2.98-3.32, 8 Rh 3.00-3.31
3 Ni 0.0000 0.5000 0.5000  4 Rh 2.47, 4 Ni 2.76
4 Ni 0.3215 0.3215 0.0000  5 Rh 2.31-2.48
5 Ni 0.5000 0.0000 0.5000  4 Rh 2.47, 4 Ni 2.76
6 Ni 0.6785 0.6785 0.0000  5 Rh 2.31-2.48
7 Rh 0.2500 0.7500 0.5000  4 Ni 2.48, 4 Rh 2.76
8 Rh 0.4293 0.4293 0.0000  5 Ni 2.31-2.47
9 Rh 0.5707 0.5707 0.0000  5 Ni 2.31-2.47
10 Rh 0.7500 0.2500 0.5000  4 Ni 2.48, 4 Rh 2.76

---

Entry 7:
Ho6Ni5Rh | PBE-GGA | relaxed

Summary:
Calculated total energy = -69.66 eV for the cell shown
Density of states at the Fermi level = 0.56 states/eV/atom
Symmetry = Cmmm
Mass density = 10.0 Mg/m³

Unit cell a=7.5588 b=7.5588 c=6.6958 alpha=90.00 beta=90.00 gamma=143.10
Closest atoms and distances in Å follow each position.
Atoms (fractional coordinates):
1 Ho 0.0000 0.0000 0.2486  6 Ni 2.91, 2 Rh 2.92
2 Ho 0.0000 0.0000 0.7514  6 Ni 2.91, 2 Rh 2.92
3 Ho 0.3328 0.6672 0.2497  7 Ni 2.92, 1 Rh 2.93
4 Ho 0.3328 0.6672 0.7503  7 Ni 2.92, 1 Rh 2.93
5 Ho 0.6672 0.3328 0.2497  7 Ni 2.92, 1 Rh 2.93
6 Ho 0.6672 0.3328 0.7503  7 Ni 2.92, 1 Rh 2.93
7 Ni 0.1662 0.8338 0.0000  8 Ho 2.91-2.92
8 Ni 0.1658 0.8342 0.5000  8 Ho 2.91-2.92
9 Ni 0.5000 0.5000 0.0000  8 Ho 2.91-2.92
10 Ni 0.8338 0.1662 0.0000  8 Ho 2.91-2.92
11 Ni 0.8342 0.1658 0.5000  8 Ho 2.91-2.92
12 Rh 0.5000 0.5000 0.5000  8 Ho 2.92-2.93

---

Entry 8:
HoNi5Rh | PBE-GGA | relaxed

Summary:
Calculated total energy = -170.69 eV for the cell shown
Density of states at the Fermi level = 1.32 states/eV/atom
Symmetry = Pnma
Mass density = 9.9 Mg/m³

Unit cell a=7.8599 b=4.8561 c=9.9091 alpha=90.00 beta=90.00 gamma=90.00
Closest atoms and distances in Å follow each position.
Atoms (fractional coordinates):
1 Ho 0.2436 0.2500 0.0608  9 Ni 2.76-3.07, 1 Rh 3.04
2 Ho 0.2564 0.7500 0.5608  9 Ni 2.76-3.07, 1 Rh 3.04
3 Ho 0.7436 0.2500 0.4392  9 Ni 2.76-3.07, 1 Rh 3.04
4 Ho 0.7564 0.7500 0.9392  9 Ni 2.76-3.07, 1 Rh 3.04
5 Ni 0.0611 0.7500 0.0963  4 Ni 2.40-2.57, 1 Rh 2.48
6 Ni 0.0697 0.0042 0.3109  7 Ni 2.38-2.47, 2 Rh 2.60-2.62
7 Ni 0.0697 0.4958 0.3109  7 Ni 2.38-2.47, 2 Rh 2.60-2.62
8 Ni 0.0983 0.2500 0.5204  5 Ni 2.41-2.46, 1 Rh 2.62
9 Ni 0.1806 0.2500 0.7555  7 Ni 2.38-2.57, 2 Rh 2.64
10 Ni 0.3194 0.7500 0.2555  7 Ni 2.38-2.57, 2 Rh 2.64
11 Ni 0.4017 0.7500 0.0204  5 Ni 2.41-2.46, 1 Rh 2.62
12 Ni 0.4303 0.5042 0.8109  7 Ni 2.38-2.47, 2 Rh 2.60-2.62
13 Ni 0.4303 0.9958 0.8109  7 Ni 2.38-2.47, 2 Rh 2.60-2.62
14 Ni 0.4389 0.2500 0.5963  4 Ni 2.40-2.57, 1 Rh 2.48
15 Ni 0.5611 0.7500 0.4037  4 Ni 2.40-2.57, 1 Rh 2.48
16 Ni 0.5697 0.0042 0.1891  7 Ni 2.38-2.47, 2 Rh 2.60-2.62
17 Ni 0.5697 0.4958 0.1891  7 Ni 2.38-2.47, 2 Rh 2.60-2.62
18 Ni 0.5983 0.2500 0.9796  5 Ni 2.41-2.46, 1 Rh 2.62
19 Ni 0.6806 0.2500 0.7445  7 Ni 2.38-2.57, 2 Rh 2.64
20 Ni 0.8194 0.7500 0.2445  7 Ni 2.38-2.57, 2 Rh 2.64
21 Ni 0.9017 0.7500 0.4796  5 Ni 2.41-2.46, 1 Rh 2.62
22 Ni 0.9303 0.5042 0.6891  7 Ni 2.38-2.47, 2 Rh 2.60-2.62
23 Ni 0.9303 0.9958 0.6891  7 Ni 2.38-2.47, 2 Rh 2.60-2.62
24 Ni 0.9389 0.2500 0.9037  4 Ni 2.40-2.57, 1 Rh 2.48
25 Rh 0.1422 0.7500 0.8542  8 Ni 2.48-2.64
26 Rh 0.3578 0.2500 0.3542  8 Ni 2.48-2.64
27 Rh 0.6422 0.7500 0.6458  8 Ni 2.48-2.64
28 Rh 0.8578 0.2500 0.1458  8 Ni 2.48-2.64

---

Entry 9:
Ho3Ni8Rh | PBE-GGA | relaxed

Summary:
Calculated total energy = -72.07 eV for the cell shown
Density of states at the Fermi level = 1.37 states/eV/atom
Symmetry = R3m
Mass density = 10.2 Mg/m³

Unit cell a=8.6060 b=8.6060 c=8.6060 alpha=33.56 beta=33.56 gamma=33.56
Closest atoms and distances in Å follow each position.
Atoms (fractional coordinates):
1 Ho 0.0000 0.0000 0.0000  12 Ni 2.75-3.01, 3 Rh 2.94
2 Ho 0.1310 0.1310 0.1310  12 Ni 2.90-2.95, 4 Ho 3.18-3.19
3 Ho 0.5206 0.5206 0.5206  9 Ni 2.77-2.98, 1 Rh 2.89
4 Ni 0.0694 0.5697 0.5697  6 Ni 2.47-2.50, 1 Rh 2.76
5 Ni 0.0727 0.0727 0.5665  6 Ni 2.45-2.52
6 Ni 0.0727 0.5665 0.0727  6 Ni 2.45-2.52
7 Ni 0.3204 0.3204 0.3204  6 Ni 2.47
8 Ni 0.5665 0.0727 0.0727  6 Ni 2.45-2.52
9 Ni 0.5697 0.0694 0.5697  6 Ni 2.47-2.50, 1 Rh 2.76
10 Ni 0.5697 0.5697 0.0694  6 Ni 2.47-2.50, 1 Rh 2.76
11 Ni 0.8204 0.8204 0.8204  6 Ni 2.50
12 Rh 0.6394 0.6394 0.6394  12 Ni 2.76-3.00, 4 Ho 2.89-2.94